VASP calculation (PBE-GGA) on a relaxed TbPuCo2 crystal.

Values from the calculation:
Final energy = -8.3773 eV per atom
V = 19.5 A^3/atom
Symmetry = Amm2, No. 38
Formation enthalpy at 0 K = -8.1 kJ per mole of atoms

Unit cell a=3.800 b=3.787 c=5.741 alpha=90.00 beta=109.39 gamma=90.00
Fractional positions:
Tb 0.435 0.500 0.409
Pu 0.716 0.000 0.971
Co 0.157 0.500 0.852
Co 0.023 0.000 0.586


VASP calculation (PBE-GGA) on a relaxed RbTlFe2 crystal.

Values from the calculation:
Final energy = -4.1316 eV per atom
Distance to the lowest polymorph of the same formula = 0 meV per atom
V = 29.4 A^3/atom
Symmetry = I4_1/amd, No. 141
Formation enthalpy at 0 K = 90.0 kJ per mole of atoms

Unit cell a=4.939 b=4.939 c=10.264 alpha=76.08 beta=76.08 gamma=90.00
Fractional positions:
Tl 0.000 0.000 0.000
Tl 0.750 0.250 0.500
Fe 0.875 0.125 0.250
Fe 0.875 0.625 0.250
Fe 0.375 0.125 0.750
Fe 0.875 0.125 0.750
Rb 0.500 0.500 0.000
Rb 0.250 0.750 0.500


VASP calculation (PBE-GGA) on a relaxed In8Sn2Pd crystal.

Values from the calculation:
Final energy = -3.2485 eV per atom
V = 26.3 A^3/atom
Symmetry = C2/m, No. 12
Formation enthalpy at 0 K = -5.5 kJ per mole of atoms

Unit cell a=5.062 b=6.521 c=9.293 alpha=100.65 beta=105.81 gamma=90.00
Fractional positions:
In 0.616 0.781 0.232
In 0.369 0.698 0.738
In 0.203 0.092 0.407
In 0.006 0.255 0.011
In 0.797 0.908 0.593
In 0.631 0.302 0.262
In 0.384 0.219 0.768
In 0.994 0.745 0.989
Sn 0.186 0.590 0.372
Sn 0.814 0.410 0.628
Pd 0.500 0.000 0.000


VASP calculation (PBE-GGA) on a relaxed Dy9Ho2Mg crystal.

Values from the calculation:
Final energy = -4.3269 eV per atom
V = 30.8 A^3/atom
Symmetry = P4/mmm, No. 123
Formation enthalpy at 0 K = 2.0 kJ per mole of atoms

Unit cell a=4.965 b=4.965 c=14.975 alpha=90.00 beta=90.00 gamma=90.00
Fractional positions:
Dy 0.500 0.500 0.000
Dy 0.500 0.500 0.329
Dy 0.500 0.500 0.671
Dy 0.500 0.000 0.165
Dy 0.500 0.000 0.500
Dy 0.500 0.000 0.835
Dy 0.000 0.500 0.165
Dy 0.000 0.500 0.500
Dy 0.000 0.500 0.835
Ho 0.000 0.000 0.332
Ho 0.000 0.000 0.668
Mg 0.000 0.000 0.000


VASP calculation (PBE-GGA) on a relaxed V2Os4Ru3 crystal.

Values from the calculation:
Final energy = -9.9839 eV per atom
V = 14.6 A^3/atom
Symmetry = P-1, No. 2
Formation enthalpy at 0 K = 12.1 kJ per mole of atoms

Unit cell a=10.418 b=4.810 c=7.493 alpha=120.24 beta=124.43 gamma=81.81
Fractional positions:
V 0.478 0.686 0.319
V 0.949 0.230 0.615
V 0.522 0.314 0.681
V 0.051 0.770 0.385
Os 0.425 0.735 0.946
Os 0.944 0.740 0.962
Os 0.575 0.265 0.054
Os 0.056 0.260 0.038
Os 0.797 0.748 0.537
Os 0.655 0.209 0.440
Os 0.203 0.252 0.463
Os 0.345 0.791 0.560
Ru 0.116 0.720 0.765
Ru 0.342 0.175 0.240
Ru 0.884 0.280 0.235
Ru 0.658 0.825 0.760
Ru 0.750 0.748 0.145
Ru 0.250 0.252 0.855


VASP calculation (PBE-GGA) on a relaxed TaBRu3 crystal.

Values from the calculation:
Final energy = -9.1725 eV per atom
V = 13.5 A^3/atom
Symmetry = P6_3/mmc, No. 194
Formation enthalpy at 0 K = 9.6 kJ per mole of atoms

Unit cell a=4.302 b=4.302 c=8.442 alpha=90.00 beta=90.00 gamma=120.00
Fractional positions:
Ru 0.000 0.000 0.250
Ru 0.000 0.000 0.750
Ru 0.333 0.667 0.085
Ru 0.333 0.667 0.415
Ru 0.667 0.333 0.585
Ru 0.667 0.333 0.915
B 0.000 0.000 0.000
B 0.000 0.000 0.500
Ta 0.333 0.667 0.750
Ta 0.667 0.333 0.250